# TaOsF2

TaOsF2 after structural relaxation (PBE, Alexandria).

Calculated values
total magnetic moment	1.40	μB/f.u.
energy relative to the elements, uncorrected	0.33	eV/atom

Lattice parameters (Å, degrees): 4.221 4.221 4.221 60.00 60.00 60.00
Site moments in Bohr magnetons follow the coordinates.
Positions (direct):
Ta (0.000, 0.000, 0.000)  -0.49
Os (0.500, 0.500, 0.500)  1.76
F (0.750, 0.750, 0.750)  0.09
F (0.250, 0.250, 0.250)  0.09

=====

# LiInBr2

LiInBr2 after structural relaxation (PBE, Alexandria).

Calculated values
total magnetic moment	0.00	μB/f.u.
energy relative to the elements, uncorrected	-0.90	eV/atom

Lattice parameters (Å, degrees): 3.703 3.702 7.819 90.00 90.00 90.00
Positions (direct):
Br (0.000, 0.000, 0.530)
Br (0.000, 0.000, 0.970)
Li (0.500, 0.500, 0.750)
In (0.500, 0.500, 0.250)

=====

# Ba3AlGa2O8

Ba3AlGa2O8 after structural relaxation (PBE, Alexandria).

Calculated values
total magnetic moment	0.97	μB/f.u.
energy relative to the elements, uncorrected	-2.31	eV/atom

Lattice parameters (Å, degrees): 5.702 5.702 7.504 90.00 90.00 120.00
Site moments in Bohr magnetons follow the coordinates.
Positions (direct):
Ba (0.667, 0.333, 0.337)  0.00
Ba (0.333, 0.667, 0.663)  0.00
Ba (0.000, 0.000, 0.000)  0.00
Al (0.000, 0.000, 0.500)  0.00
O (0.333, 0.667, 0.001)  0.18
O (0.683, 0.842, 0.342)  0.08
O (0.158, 0.842, 0.342)  0.08
O (0.842, 0.683, 0.658)  0.08
O (0.842, 0.158, 0.658)  0.08
O (0.158, 0.317, 0.342)  0.08
O (0.317, 0.158, 0.658)  0.08
O (0.667, 0.333, 0.999)  0.18
Ga (0.667, 0.333, 0.759)  -0.01
Ga (0.333, 0.667, 0.241)  -0.01

=====

# SbRuPb

SbRuPb after structural relaxation (PBE, Alexandria).

Calculated values
total magnetic moment	0.00	μB/f.u.
energy relative to the elements, uncorrected	0.07	eV/atom

Lattice parameters (Å, degrees): 6.559 3.252 6.842 90.00 99.87 90.00
Positions (direct):
Ru (0.487, 0.750, 0.322)
Ru (0.513, 0.250, 0.678)
Pb (0.272, 0.750, 0.908)
Pb (0.728, 0.250, 0.092)
Sb (0.191, 0.250, 0.389)
Sb (0.809, 0.750, 0.611)

=====

# La2TaCo

La2TaCo after structural relaxation (PBE, Alexandria).

Calculated values
total magnetic moment	0.00	μB/f.u.
ΔE_f	10.2	kJ per mole of atoms

Lattice parameters (Å, degrees): 3.258 3.258 9.076 90.00 90.00 90.00
Positions (direct):
Co (0.500, 0.500, 0.691)
Ta (0.000, 0.000, 0.573)
La (0.000, 0.000, 0.931)
La (0.500, 0.500, 0.305)

=====

# MnCrNi

MnCrNi after structural relaxation (PBE, Alexandria).

Calculated values
total magnetic moment	1.85	μB/f.u.
ΔE_f	7.0	kJ per mole of atoms

Lattice parameters (Å, degrees): 5.862 5.862 5.862 155.81 155.81 34.48
Site moments in Bohr magnetons follow the coordinates.
Positions (direct):
Mn (0.332, 0.332, 0.000)  1.81
Cr (0.002, 0.002, 0.000)  -0.07
Ni (0.666, 0.666, 0.000)  0.09

=====

# ZrAsP2S

ZrAsP2S after structural relaxation (PBE, Alexandria).

Calculated values
total magnetic moment	0.44	μB/f.u.
energy relative to the elements, uncorrected	0.47	eV/atom

Lattice parameters (Å, degrees): 5.108 5.108 4.808 90.00 90.00 90.00
Site moments in Bohr magnetons follow the coordinates.
Positions (direct):
P (0.000, 0.500, 0.000)  -0.08
P (0.500, 0.000, 0.000)  -0.08
Zr (0.000, 0.000, 0.000)  0.02
S (0.000, 0.000, 0.500)  0.02
As (0.500, 0.500, 0.500)  0.34

=====

# KVCu3Se4

KVCu3Se4 after structural relaxation (PBE, Alexandria).

Calculated values
total magnetic moment	1.00	μB/f.u.
energy relative to the elements, uncorrected	-0.47	eV/atom

Lattice parameters (Å, degrees): 6.074 6.074 6.074 90.00 90.00 90.00
Site moments in Bohr magnetons follow the coordinates.
Positions (direct):
Cu (0.000, 0.500, 0.000)  -0.01
Cu (0.000, 0.000, 0.500)  -0.01
Cu (0.500, 0.000, 0.000)  -0.01
Se (0.778, 0.778, 0.222)  -0.03
Se (0.222, 0.222, 0.222)  -0.03
Se (0.778, 0.222, 0.778)  -0.03
Se (0.222, 0.778, 0.778)  -0.03
K (0.500, 0.500, 0.500)  0.00
V (0.000, 0.000, 0.000)  1.05

=====

Number 1: mass density 12.8 g/cm3. Number 2: mass density 4.4 g/cm3. Number 3: mass density 5.6 g/cm3. Number 4: mass density 9.9 g/cm3. Number 5: mass density 8.9 g/cm3. Number 6: mass density 8.1 g/cm3. Number 7: mass density 3.4 g/cm3. Number 8: mass density 4.4 g/cm3.